[1]
{"formula": "LaNiSb2", "functional": "PBE", "state": "optimized geometry", "lattice_angstrom": [[5.3247, 0.0000, 0.0000], [0.0000, 5.3247, 0.0000], [2.6624, 2.6624, 8.2636]], "species": ["Sb", "Sb", "Sb", "Sb", "La", "La", "Ni", "Ni"], "fractional_positions": [[0.3750, 0.5110, 0.7500], [0.4890, 0.1250, 0.2500], [0.8750, 0.7390, 0.7500], [0.2610, 0.6250, 0.2500], [0.0000, 0.0000, 0.0000], [0.7500, 0.2500, 0.5000], [0.2500, 0.7500, 0.5000], [0.5000, 0.5000, 0.0000]], "sg": "I-42d, No. 122"}

***

[2]
{"formula": "LaNiSb2", "functional": "PBE", "state": "optimized geometry", "lattice_angstrom": [[5.9499, 0.0371, 0.0169], [2.1108, 5.5630, -0.0169], [-3.1287, -4.0979, 2.9701]], "species": ["Sb", "Sb", "La", "Ni"], "fractional_positions": [[0.9437, 0.9437, 0.0000], [0.5563, 0.5563, 0.0000], [0.2500, 0.7500, 0.5000], [0.7500, 0.2500, 0.5000]], "sg": "Immm, No. 71"}

***

[3]
{"formula": "La2Ni2Sb", "functional": "PBE", "state": "optimized geometry", "lattice_angstrom": [[-2.4609, 2.4780, -1.2904], [-2.7118, -1.7048, 1.8978], [-1.0334, 5.4556, 7.0762]], "species": ["Ni", "Ni", "La", "La", "Sb"], "fractional_positions": [[0.2500, 0.7500, 0.5000], [0.7500, 0.2500, 0.5000], [0.6252, 0.6252, 0.7496], [0.3748, 0.3748, 0.2504], [0.0000, 0.0000, 0.0000]], "polymorph_energy_mev_per_atom": 214, "sg": "I4/mmm, No. 139"}

***

What did we get for energy relative to the elements, uncorrected? Answer: -1.38 -1.48 -2.11 eV per formula unit, in the order shown.
What did we get for energy? Answer: -5.0842 -5.1088 -5.5303 eV per atom, in the order shown.